No. 1
# K3Cd2Sn2Sb4 | Alexandria via LeMat-Bulk | GGA-PBE | optimized geometry
# Space-group type: P-3m1
# Total energy: -2.9705 eV per atom
data_K3Cd2Sn2Sb4
_chemical_formula_sum 'K3 Cd2 Sn2 Sb4'
_cell_length_a 5.047
_cell_length_b 5.047
_cell_length_c 18.291
_cell_angle_alpha 90.00
_cell_angle_beta 90.00
_cell_angle_gamma 120.00
_symmetry_space_group_name_H-M 'P 1'
_symmetry_Int_Tables_number 1
_symmetry_space_group_name_Hall 'P 1'
loop_
_atom_site_label
_atom_site_fract_x
_atom_site_fract_y
_atom_site_fract_z
Sn1 0.333 0.667 0.561
Sn2 0.667 0.333 0.439
Cd1 0.333 0.667 0.138
Cd2 0.667 0.333 0.862
Sb1 0.667 0.333 0.601
Sb2 0.333 0.667 0.399
Sb3 0.333 0.667 0.861
Sb4 0.667 0.333 0.139
K1 0.000 0.000 0.726
K2 0.000 0.000 0.000
K3 0.000 0.000 0.274

=====

No. 2
# BeGa2Ag | Alexandria via LeMat-Bulk | GGA-PBE | optimized geometry
# Space-group type: I-42d
# Formation energy from the elements: 303 meV/atom
data_BeGa2Ag
_chemical_formula_sum 'Be2 Ga4 Ag2'
_cell_length_a 7.608
_cell_length_b 7.608
_cell_length_c 5.887
_cell_angle_alpha 49.75
_cell_angle_beta 49.75
_cell_angle_gamma 90.00
_symmetry_space_group_name_H-M 'P 1'
_symmetry_Int_Tables_number 1
_symmetry_space_group_name_Hall 'P 1'
loop_
_atom_site_label
_atom_site_fract_x
_atom_site_fract_y
_atom_site_fract_z
Ga1 0.206 0.625 0.250
Ga2 0.875 0.794 0.750
Ga3 0.375 0.456 0.750
Ga4 0.544 0.125 0.250
Ag1 0.000 0.000 0.000
Ag2 0.750 0.250 0.500
Be1 0.250 0.750 0.500
Be2 0.500 0.500 0.000

=====

No. 3
# RbAlCo3 | Alexandria via LeMat-Bulk | GGA-PBE | optimized geometry
# Space-group type: Pm-3m
# Energy above the lowest structure with this stoichiometry: 1.299 eV per atom
# Formation energy from the elements: 2438 meV/atom
data_RbAlCo3
_chemical_formula_sum 'Rb1 Al1 Co3'
_cell_length_a 4.578
_cell_length_b 4.578
_cell_length_c 4.578
_cell_angle_alpha 90.00
_cell_angle_beta 90.00
_cell_angle_gamma 90.00
_symmetry_space_group_name_H-M 'P 1'
_symmetry_Int_Tables_number 1
_symmetry_space_group_name_Hall 'P 1'
loop_
_atom_site_label
_atom_site_fract_x
_atom_site_fract_y
_atom_site_fract_z
Co1 0.500 0.000 0.000
Co2 0.000 0.500 0.000
Co3 0.000 0.000 0.500
Rb1 0.000 0.000 0.000
Al1 0.500 0.500 0.500